(1)
Cs2SiP, single point on PBEsol structure, DFT meta-GGA SCAN; formation energy (no corrections) = 0.052 eV/atom; E_tot = -23.96 eV/atom
1.0
-1.621 -3.969 1.533
3.268 -0.420 9.131
-8.629 2.367 3.764
Cs P Si
4 2 2
Direct
0.823 0.802 0.302 Cs
0.927 0.198 0.698 Cs
0.375 0.698 0.802 Cs
0.875 0.302 0.198 Cs
0.000 0.000 0.000 P
0.750 0.500 0.500 P
0.500 0.000 0.000 Si
0.250 0.500 0.500 Si

(2)
Cs2SnP, single point on PBEsol structure, DFT meta-GGA SCAN; energy of formation = 0.363 eV per atom; E_tot = -30.12 eV/atom
1.0
-2.042 -4.765 -2.873
3.572 -3.025 -3.635
1.883 -5.410 1.520
Cs P Sn
2 1 1
Direct
0.250 0.250 0.250 Cs
0.750 0.750 0.750 Cs
0.000 0.000 0.000 P
0.500 0.500 0.500 Sn

(3)
Cs3SnP, single point on PBEsol structure, DFT meta-GGA SCAN; energy of formation = 0.109 eV per atom; E_tot = -31.84 eV/atom
1.0
6.662 0.000 0.000
0.000 6.662 0.000
0.000 0.000 6.662
Cs P Sn
3 1 1
Direct
0.000 0.500 0.000 Cs
0.000 0.000 0.500 Cs
0.500 0.000 0.000 Cs
0.000 0.000 0.000 P
0.500 0.500 0.500 Sn

(4)
CsSr3P, single point on PBEsol structure, DFT meta-GGA SCAN; energy of formation = -0.395 eV per atom; E_tot = -23.40 eV/atom
1.0
6.127 0.000 0.000
0.000 6.127 0.000
0.000 0.000 6.127
Cs Sr P
1 3 1
Direct
0.500 0.500 0.500 Cs
0.000 0.500 0.000 Sr
0.000 0.000 0.500 Sr
0.500 0.000 0.000 Sr
0.000 0.000 0.000 P

(5)
CsTa3P, single point on PBEsol structure, DFT meta-GGA SCAN; energy of formation = 1.344 eV per atom; E_tot = -48.25 eV/atom
1.0
-4.605 1.098 0.481
-1.134 -4.610 -0.337
0.389 -0.440 4.723
Cs P Ta
1 1 3
Direct
0.500 0.500 0.500 Cs
0.000 0.000 0.000 P
0.000 0.500 0.000 Ta
0.000 0.000 0.500 Ta
0.500 0.000 0.000 Ta

(6)
Cs2TaP2, single point on PBEsol structure, DFT meta-GGA SCAN; energy of formation = 0.949 eV per atom; E_tot = -31.65 eV/atom
1.0
-1.458 -0.312 2.960
0.383 -3.288 -0.158
11.704 2.832 4.208
Cs P Ta
2 2 1
Direct
0.373 0.373 0.746 Cs
0.627 0.627 0.254 Cs
0.250 0.750 0.500 P
0.750 0.250 0.500 P
0.000 0.000 0.000 Ta

(7)
Cs3TcP, single point on PBEsol structure, DFT meta-GGA SCAN; energy of formation = 0.972 eV per atom; energy above the most stable polymorph in this dataset = 0 meV per atom; E_tot = -30.81 eV/atom
1.0
-2.219 1.514 -6.118
-5.702 -3.245 1.265
-2.685 5.641 2.369
Cs P Tc
3 1 1
Direct
0.000 0.500 0.000 Cs
0.000 0.000 0.500 Cs
0.500 0.000 0.000 Cs
0.000 0.000 0.000 P
0.500 0.500 0.500 Tc

(8)
CsTe2P, single point on PBEsol structure, DFT meta-GGA SCAN; formation energy (no corrections) = 0.143 eV/atom; E_tot = -30.53 eV/atom
1.0
-2.652 2.583 -5.337
-5.194 -2.791 -2.722
-6.338 3.412 0.848
Cs P Te
1 1 2
Direct
0.500 0.500 0.500 Cs
0.000 0.000 0.000 P
0.131 0.131 0.608 Te
0.869 0.869 0.392 Te

(9)
CsY3P, single point on PBEsol structure, DFT meta-GGA SCAN; energy of formation = -0.100 eV per atom; E_tot = -26.45 eV/atom
1.0
5.464 0.000 0.000
0.000 5.464 0.000
0.000 0.000 5.464
Cs Y P
1 3 1
Direct
0.500 0.500 0.500 Cs
0.000 0.500 0.000 Y
0.000 0.000 0.500 Y
0.500 0.000 0.000 Y
0.000 0.000 0.000 P

(10)
CsZn4P3, single point on PBEsol structure, DFT meta-GGA SCAN; energy of formation = -0.376 eV per atom; E_tot = -15.76 eV/atom
1.0
4.019 0.000 0.000
0.000 4.019 0.000
0.000 0.000 10.211
Cs P Zn
1 3 4
Direct
0.000 0.000 0.500 Cs
0.000 0.000 0.000 P
0.500 0.500 0.279 P
0.500 0.500 0.721 P
0.000 0.500 0.153 Zn
0.000 0.500 0.847 Zn
0.500 0.000 0.847 Zn
0.500 0.000 0.153 Zn

(11)
CsPb, single point on PBEsol structure, DFT meta-GGA SCAN; energy of formation = -0.364 eV per atom; E_tot = -57.16 eV/atom
1.0
4.743 0.000 0.000
0.000 6.530 0.000
-2.371 -3.265 5.715
Pb Cs
2 2
Direct
0.829 0.079 0.658 Pb
0.171 0.921 0.342 Pb
0.593 0.343 0.186 Cs
0.407 0.657 0.814 Cs

(12)
CsPd2Pb2, single point on PBEsol structure, DFT meta-GGA SCAN; energy of formation = -0.248 eV per atom; E_tot = -51.23 eV/atom
1.0
-3.552 -1.408 -1.366
1.947 -2.879 -2.094
0.293 -3.092 8.454
Pb Cs Pd
2 1 2
Direct
0.356 0.356 0.713 Pb
0.644 0.644 0.287 Pb
0.000 0.000 0.000 Cs
0.250 0.750 0.500 Pd
0.750 0.250 0.500 Pd

(13)
CsPdPt2Pb, single point on PBEsol structure, DFT meta-GGA SCAN; energy of formation = 2.119 eV per atom; E_tot = -55.23 eV/atom
1.0
5.046 0.000 0.000
0.000 5.046 0.000
0.000 0.000 5.999
Pb Cs Pd Pt
1 1 1 2
Direct
0.000 0.000 0.500 Pb
0.000 0.000 0.000 Cs
0.500 0.500 0.500 Pd
0.000 0.500 0.000 Pt
0.500 0.000 0.000 Pt

(14)
CsPtPb2, single point on PBEsol structure, DFT meta-GGA SCAN; energy of formation = 0.326 eV per atom; E_tot = -64.56 eV/atom
1.0
-4.339 -2.900 -1.000
0.351 -5.295 -0.287
-2.121 -3.015 3.828
Pb Cs Pt
2 1 1
Direct
0.250 0.250 0.250 Pb
0.750 0.750 0.750 Pb
0.000 0.000 0.000 Cs
0.500 0.500 0.500 Pt

(15)
CsRbPb2, single point on PBEsol structure, DFT meta-GGA SCAN; energy of formation = 0.013 eV per atom; E_tot = -52.52 eV/atom
1.0
6.133 0.000 0.000
3.066 5.311 0.000
3.066 1.770 5.007
Pb Cs Rb
2 1 1
Direct
0.250 0.250 0.250 Pb
0.750 0.750 0.750 Pb
0.500 0.500 0.500 Cs
0.000 0.000 0.000 Rb

(16)
CsRbPb2Se, single point on PBEsol structure, DFT meta-GGA SCAN; formation energy (no corrections) = 0.748 eV/atom; E_tot = -45.29 eV/atom
1.0
-0.257 -5.407 2.800
1.804 -2.744 -5.134
6.237 0.657 1.841
Pb Cs Se Rb
2 1 1 1
Direct
0.000 0.500 0.000 Pb
0.500 0.000 0.000 Pb
0.000 0.000 0.500 Cs
0.500 0.500 0.500 Se
0.000 0.000 0.000 Rb

(17)
CsRh2Pb2, single point on PBEsol structure, DFT meta-GGA SCAN; energy of formation = -0.115 eV per atom; E_tot = -51.50 eV/atom
1.0
3.969 0.000 0.000
0.000 3.969 0.000
-1.984 -1.984 8.768
Pb Cs Rh
2 1 2
Direct
0.353 0.353 0.706 Pb
0.647 0.647 0.294 Pb
0.000 0.000 0.000 Cs
0.250 0.750 0.500 Rh
0.750 0.250 0.500 Rh

(18)
Cs2RhPb, single point on PBEsol structure, DFT meta-GGA SCAN; energy of formation = 0.857 eV per atom; E_tot = -45.44 eV/atom
1.0
-0.726 5.469 -1.682
-2.379 3.831 3.595
3.232 4.181 2.310
Pb Cs Rh
1 2 1
Direct
0.500 0.500 0.500 Pb
0.250 0.250 0.250 Cs
0.750 0.750 0.750 Cs
0.000 0.000 0.000 Rh

(19)
CsRu3Pb, single point on PBEsol structure, DFT meta-GGA SCAN; energy of formation = 1.924 eV per atom; E_tot = -41.69 eV/atom
1.0
5.095 0.000 0.000
0.000 5.095 0.000
0.000 0.000 5.095
Pb Cs Ru
1 1 3
Direct
0.000 0.000 0.000 Pb
0.500 0.500 0.500 Cs
0.000 0.500 0.000 Ru
0.000 0.000 0.500 Ru
0.500 0.000 0.000 Ru

(20)
CsPb2S2, single point on PBEsol structure, DFT meta-GGA SCAN; formation energy (no corrections) = -0.661 eV/atom; E_tot = -42.39 eV/atom
1.0
5.339 0.000 0.000
0.000 5.339 0.000
-2.670 -2.670 5.431
Pb Cs S
2 1 2
Direct
0.341 0.341 0.683 Pb
0.659 0.659 0.317 Pb
0.000 0.000 0.000 Cs
0.250 0.750 0.500 S
0.750 0.250 0.500 S

(21)
CsScPb3, single point on PBEsol structure, DFT meta-GGA SCAN; energy of formation = -0.202 eV per atom; E_tot = -56.08 eV/atom
1.0
-2.637 -0.743 -4.947
0.267 -5.605 0.700
-4.995 0.092 2.648
Pb Cs Sc
3 1 1
Direct
0.000 0.500 0.000 Pb
0.000 0.000 0.500 Pb
0.500 0.000 0.000 Pb
0.500 0.500 0.500 Cs
0.000 0.000 0.000 Sc

(22)
CsSc3Pb, single point on PBEsol structure, DFT meta-GGA SCAN; energy of formation = 1.285 eV per atom; E_tot = -29.98 eV/atom
1.0
5.205 0.000 0.000
0.000 5.205 0.000
0.000 0.000 5.205
Pb Cs Sc
1 1 3
Direct
0.500 0.500 0.500 Pb
0.000 0.000 0.000 Cs
0.000 0.500 0.000 Sc
0.000 0.000 0.500 Sc
0.500 0.000 0.000 Sc

(23)
CsPb2Se2, single point on PBEsol structure, DFT meta-GGA SCAN; formation energy (no corrections) = -0.689 eV/atom; E_tot = -46.59 eV/atom
1.0
5.555 0.000 0.000
0.000 5.555 0.000
-2.778 -2.778 5.455
Pb Cs Se
2 1 2
Direct
0.346 0.346 0.692 Pb
0.654 0.654 0.308 Pb
0.000 0.000 0.000 Cs
0.250 0.750 0.500 Se
0.750 0.250 0.500 Se

(24)
Cs2SiPb, single point on PBEsol structure, DFT meta-GGA SCAN; formation energy (no corrections) = 0.468 eV/atom; E_tot = -39.89 eV/atom
1.0
-4.227 1.672 4.095
-5.006 -3.425 0.802
-0.709 -3.221 5.153
Pb Cs Si
1 2 1
Direct
0.500 0.500 0.500 Pb
0.250 0.250 0.250 Cs
0.750 0.750 0.750 Cs
0.000 0.000 0.000 Si

(25)
CsTlSnPb2, single point on PBEsol structure, DFT meta-GGA SCAN; energy of formation = 1.196 eV per atom; E_tot = -58.33 eV/atom
1.0
6.066 0.000 0.000
0.000 6.145 0.000
0.000 0.000 6.145
Pb Cs Tl Sn
2 1 1 1
Direct
0.000 0.000 0.500 Pb
0.000 0.500 0.000 Pb
0.000 0.000 0.000 Cs
0.500 0.500 0.500 Tl
0.500 0.000 0.000 Sn

(26)
CsZr2SnPb, single point on PBEsol structure, DFT meta-GGA SCAN; energy of formation = 1.024 eV per atom; E_tot = -41.16 eV/atom
1.0
-4.473 -0.158 3.180
-2.975 -1.746 -4.271
1.289 -5.911 1.519
Pb Cs Sn Zr
1 1 1 2
Direct
0.000 0.000 0.000 Pb
0.000 0.000 0.500 Cs
0.500 0.500 0.500 Sn
0.000 0.500 0.000 Zr
0.500 0.000 0.000 Zr

(27)
CsTa3Pb, single point on PBEsol structure, DFT meta-GGA SCAN; energy of formation = 3.208 eV per atom; E_tot = -59.46 eV/atom
1.0
5.031 0.000 0.000
0.000 5.031 0.000
0.000 0.000 5.031
Pb Cs Ta
1 1 3
Direct
0.500 0.500 0.500 Pb
0.000 0.000 0.000 Cs
0.000 0.500 0.000 Ta
0.000 0.000 0.500 Ta
0.500 0.000 0.000 Ta

(28)
Cs2TePb, single point on PBEsol structure, DFT meta-GGA SCAN; formation energy (no corrections) = -0.354 eV/atom; E_tot = -47.52 eV/atom
1.0
6.305 0.000 0.000
3.153 5.461 0.000
3.153 1.820 5.148
Pb Cs Te
1 2 1
Direct
0.500 0.500 0.500 Pb
0.250 0.250 0.250 Cs
0.750 0.750 0.750 Cs
0.000 0.000 0.000 Te

(29)
Cs2TlPb, single point on PBEsol structure, DFT meta-GGA SCAN; energy of formation = -0.001 eV per atom; E_tot = -55.94 eV/atom
1.0
-2.937 0.677 5.467
-3.234 -4.762 2.417
2.122 -2.960 5.071
Pb Cs Tl
1 2 1
Direct
0.500 0.500 0.500 Pb
0.250 0.250 0.250 Cs
0.750 0.750 0.750 Cs
0.000 0.000 0.000 Tl